Here is a relaxed structure of BaTa from OQMD. Energies are from GGA-PBE.

The structure in CIF format:
```
data_BaTa
_symmetry_space_group_name_H-M 'F m -3 m'
_symmetry_Int_Tables_number 225
_symmetry_space_group_name_Hall '-F 4 2 3'
_cell_length_a 6.7926
_cell_length_b 6.7926
_cell_length_c 6.7926
_cell_angle_alpha 90.00
_cell_angle_beta 90.00
_cell_angle_gamma 90.00
loop_
_atom_site_label
_atom_site_fract_x
_atom_site_fract_y
_atom_site_fract_z
Ba1 0.0000 0.0000 0.0000
Ta1 0.0000 0.0000 0.5000
```

Calculated values
Energy above the most stable polymorph in this dataset = 0.0000 eV per atom